No. 1
Computed, not measured: a relaxed Tc2RhAu crystal at the PBEsol level of DFT.

Cell and atoms, written as POSCAR:
```
Tc2RhAu
1.0
-3.192 -1.989 -0.943
-0.487 -0.986 3.728
-0.274 4.617 -0.841
Tc Rh Au
2 1 1
Cartesian
-2.649 0.565 -0.197
-0.005 0.007 0.001
-1.300 1.072 2.140
-2.113 3.128 0.551
```

As for the energy of formation from the pure elements: 0.167 eV per atom. As for the space group: Imm2. As for the crystal system: orthorhombic. The value obtained for the density of states at the Fermi level is 4.70 states/eV/f.u. The value obtained for the total magnetic moment is 0.000 μB/cell. The calculated density comes out at 14.32 Mg/m³.

No. 2
Computed, not measured: a relaxed TcRh2Au crystal at the PBEsol level of DFT.

Cell and atoms, written as POSCAR:
```
TcRh2Au
1.0
-0.467 2.517 -0.916
-2.218 0.516 -1.484
-5.480 2.892 6.706
Tc Au Rh
1 1 2
Cartesian
-4.152 2.991 2.265
-2.044 1.482 1.080
-6.100 4.433 3.188
-5.434 2.873 6.630
```

As for the energy of formation from the pure elements: 0.095 eV per atom. As for the space group: R3m. As for the crystal system: trigonal. The value obtained for the density of states at the Fermi level is 4.18 states/eV/f.u. The value obtained for the total magnetic moment is 0.000 μB/cell. The calculated density comes out at 14.44 Mg/m³.

No. 3
Computed, not measured: a relaxed TcRh2Au crystal at the PBEsol level of DFT.

Cell and atoms, written as POSCAR:
```
TcRh2Au
1.0
2.738 0.000 0.000
0.000 4.695 -0.003
0.000 -1.479 4.456
Rh Au Tc
2 1 1
Cartesian
0.000 -0.739 2.228
0.000 2.347 -0.001
1.369 1.608 2.227
1.369 0.000 0.000
```

As for the energy of formation from the pure elements: 0.176 eV per atom. As for the space group: Cmmm. As for the crystal system: orthorhombic. The value obtained for the density of states at the Fermi level is 5.95 states/eV/f.u. The value obtained for the total magnetic moment is 0.000 μB/cell. The calculated density comes out at 14.52 Mg/m³.

No. 4
Computed, not measured: a relaxed TcRhAu2 crystal at the PBEsol level of DFT.

Cell and atoms, written as POSCAR:
```
TcRhAu2
1.0
-1.606 3.419 -1.102
-0.468 -1.396 -3.649
-2.498 -2.360 3.345
Rh Au Tc
1 2 1
Cartesian
-1.037 1.012 -2.376
-2.002 -1.372 -1.340
-2.571 1.035 -0.066
0.000 0.000 0.000
```

As for the energy of formation from the pure elements: 0.341 eV per atom. As for the space group: I4/mmm. As for the crystal system: tetragonal. The value obtained for the density of states at the Fermi level is 4.45 states/eV/f.u. The value obtained for the total magnetic moment is 0.001 μB/cell. The calculated density comes out at 16.33 Mg/m³.

No. 5
Computed, not measured: a relaxed TeRhAu2 crystal at the PBEsol level of DFT.

Cell and atoms, written as POSCAR:
```
TeRhAu2
1.0
3.467 0.000 0.000
0.000 4.196 -0.047
-1.733 -0.905 4.955
Te Au Rh
1 2 1
Cartesian
1.733 0.000 0.000
0.000 0.613 2.632
1.733 2.677 2.276
0.000 2.098 -0.024
```

As for the space group: C2/m. As for the uncorrected formation energy: 0.5 eV/f.u. As for the crystal system: monoclinic. The value obtained for the density of states at the Fermi level is 1.70 states/eV/f.u. The value obtained for the total magnetic moment is 0.000 μB/cell. The calculated density comes out at 14.41 Mg/m³.

No. 6
Computed, not measured: a relaxed TeRhAu2 crystal at the PBEsol level of DFT.

Cell and atoms, written as POSCAR:
```
TeRhAu2
1.0
-2.216 2.524 0.284
-2.076 -2.017 1.727
2.745 1.801 5.402
Rh Te Au
1 1 2
Cartesian
1.405 0.922 2.764
-0.207 1.526 4.822
-1.451 0.710 2.374
0.078 0.051 0.154
```

As for the space group: P4mm. As for the uncorrected formation energy: 0.1 eV/f.u. As for the crystal system: tetragonal. The value obtained for the density of states at the Fermi level is 1.79 states/eV/f.u. The value obtained for the total magnetic moment is 0.000 μB/cell. The calculated density comes out at 14.44 Mg/m³.

No. 7
Computed, not measured: a relaxed Te4RhAu crystal at the PBEsol level of DFT.

Cell and atoms, written as POSCAR:
```
Te4RhAu
1.0
6.005 0.000 0.000
3.002 5.200 0.000
3.002 1.733 4.903
Te Rh Au
4 1 1
Cartesian
6.005 5.200 1.839
6.005 3.467 4.290
7.506 2.600 1.839
4.504 2.600 1.839
0.000 0.000 0.000
9.007 5.200 3.677
```

As for the space group: F-43m. As for the uncorrected formation energy: 6.0 eV/f.u. As for the crystal system: cubic. The value obtained for the density of states at the Fermi level is 6.98 states/eV/f.u. The value obtained for the total magnetic moment is 0.275 μB/cell. The calculated density comes out at 8.79 Mg/m³.

No. 8
Computed, not measured: a relaxed Te2RhAu crystal at the PBEsol level of DFT.

Cell and atoms, written as POSCAR:
```
Te2RhAu
1.0
3.958 0.000 0.000
1.979 3.428 0.000
1.979 1.143 7.735
Rh Au Te
1 1 2
Cartesian
3.958 2.285 3.868
0.000 0.000 0.000
1.979 1.143 5.166
5.937 3.428 2.569
```

As for the space group: R-3m. As for the uncorrected formation energy: -0.7 eV/f.u. As for the crystal system: trigonal. The value obtained for the density of states at the Fermi level is 0.81 states/eV/f.u. The value obtained for the total magnetic moment is 0.000 μB/cell. The calculated density comes out at 8.78 Mg/m³.

No. 9
Computed, not measured: a relaxed Te2RhAu crystal at the PBEsol level of DFT.

Cell and atoms, written as POSCAR:
```
Te2RhAu
1.0
-2.238 -1.792 1.488
2.663 -0.581 3.306
-2.474 6.262 0.316
Te Au Rh
2 1 1
Cartesian
-0.262 0.588 0.314
0.072 2.535 3.164
-1.967 4.415 2.360
-2.154 1.427 1.985
```

As for the space group: Imm2. As for the uncorrected formation energy: 0.3 eV/f.u. As for the crystal system: orthorhombic. The value obtained for the density of states at the Fermi level is 3.15 states/eV/f.u. The value obtained for the total magnetic moment is 0.000 μB/cell. The calculated density comes out at 10.77 Mg/m³.

No. 10
Computed, not measured: a relaxed TeRhAu2 crystal at the PBEsol level of DFT.

Cell and atoms, written as POSCAR:
```
TeRhAu2
1.0
3.639 0.000 0.000
0.000 4.595 0.018
0.000 -1.486 4.348
Au Te Rh
2 1 1
Cartesian
0.000 -0.743 2.174
0.000 2.297 0.009
1.820 1.555 2.183
1.820 0.000 0.000
```

As for the space group: Cmmm. As for the uncorrected formation energy: 1.0 eV/f.u. As for the crystal system: orthorhombic. The value obtained for the density of states at the Fermi level is 3.95 states/eV/f.u. The value obtained for the total magnetic moment is 0.000 μB/cell. The calculated density comes out at 14.24 Mg/m³.

No. 11
Computed, not measured: a relaxed TeRhAu2 crystal at the PBEsol level of DFT.

Cell and atoms, written as POSCAR:
```
TeRhAu2
1.0
-1.669 -0.132 -3.531
-2.995 -2.019 1.491
-2.230 3.977 0.905
Au Te Rh
2 1 1
Cartesian
-0.834 -0.066 -1.766
-1.498 -1.010 0.745
-1.115 1.988 0.453
-3.447 0.913 -0.568
```

As for the space group: P4/mmm. As for the uncorrected formation energy: 0.7 eV/f.u. As for the crystal system: tetragonal. The value obtained for the density of states at the Fermi level is 3.23 states/eV/f.u. The value obtained for the total magnetic moment is 0.000 μB/cell. The calculated density comes out at 14.61 Mg/m³.

No. 12
Computed, not measured: a relaxed Te2RhAu crystal at the PBEsol level of DFT.

Cell and atoms, written as POSCAR:
```
Te2RhAu
1.0
-0.244 0.188 -2.993
-0.357 -2.498 -1.640
-11.131 0.170 -0.596
Te Au Rh
2 1 1
Cartesian
-3.119 -2.093 -4.415
-8.612 -0.047 -0.815
-5.866 -1.070 -2.615
0.000 0.000 0.000
```

As for the space group: R-3m. As for the uncorrected formation energy: 1.6 eV/f.u. As for the crystal system: trigonal. The value obtained for the density of states at the Fermi level is 2.90 states/eV/f.u. The value obtained for the total magnetic moment is 0.000 μB/cell. The calculated density comes out at 10.67 Mg/m³.

No. 13
Computed, not measured: a relaxed Te2RhAu crystal at the PBEsol level of DFT.

Cell and atoms, written as POSCAR:
```
Te2RhAu
1.0
3.517 0.000 0.000
0.000 4.752 0.000
0.000 0.000 4.752
Te Au Rh
2 1 1
Cartesian
0.000 0.000 2.376
0.000 2.376 0.000
1.758 2.376 2.376
1.758 0.000 0.000
```

As for the space group: P4/mmm. As for the uncorrected formation energy: 0.9 eV/f.u. As for the crystal system: tetragonal. The value obtained for the density of states at the Fermi level is 2.15 states/eV/f.u. The value obtained for the total magnetic moment is 0.000 μB/cell. The calculated density comes out at 11.61 Mg/m³.

No. 14
Computed, not measured: a relaxed Te2RhAu crystal at the PBEsol level of DFT.

Cell and atoms, written as POSCAR:
```
Te2RhAu
1.0
-0.907 0.902 -4.305
-4.725 -0.214 0.950
-0.331 4.431 -0.650
Rh Te Au
1 2 1
Cartesian
-2.701 1.352 -0.880
-3.164 3.346 -2.733
-0.133 0.573 -0.532
-0.587 2.530 -2.350
```

As for the space group: Amm2. As for the uncorrected formation energy: -0.3 eV/f.u. As for the crystal system: orthorhombic. The value obtained for the density of states at the Fermi level is 1.98 states/eV/f.u. The value obtained for the total magnetic moment is 0.000 μB/cell. The calculated density comes out at 10.12 Mg/m³.

No. 15
Computed, not measured: a relaxed Te2RhAu crystal at the PBEsol level of DFT.

Cell and atoms, written as POSCAR:
```
Te2RhAu
1.0
3.886 0.000 0.000
0.000 4.466 -0.067
0.000 -0.356 5.439
Te Au Rh
2 1 1
Cartesian
0.000 3.491 1.141
0.000 0.619 4.230
1.943 2.055 2.686
1.943 2.233 -0.034
```

As for the space group: P2/m. As for the uncorrected formation energy: 0.1 eV/f.u. As for the crystal system: monoclinic. The value obtained for the density of states at the Fermi level is 2.13 states/eV/f.u. The value obtained for the total magnetic moment is 0.000 μB/cell. The calculated density comes out at 9.78 Mg/m³.

No. 16
Computed, not measured: a relaxed Ti2Rh2Au crystal at the PBEsol level of DFT.

Cell and atoms, written as POSCAR:
```
Ti2Rh2Au
1.0
2.935 0.000 0.000
0.000 7.195 0.000
0.000 0.000 7.195
Ti Au Rh
4 2 4
Cartesian
1.467 6.021 2.424
1.467 2.424 1.174
1.467 1.174 4.772
1.467 4.772 6.021
0.000 0.000 0.000
0.000 3.598 3.598
0.000 2.619 6.217
0.000 4.576 0.978
0.000 0.978 2.619
0.000 6.217 4.576
```

As for the energy of formation from the pure elements: -0.620 eV per atom. As for the space group: P4/mbm. As for the crystal system: tetragonal. The value obtained for the density of states at the Fermi level is 3.80 states/eV/f.u. The value obtained for the total magnetic moment is 0.000 μB/cell. The calculated density comes out at 10.90 Mg/m³.

No. 17
Computed, not measured: a relaxed TlRhAu2 crystal at the PBEsol level of DFT.

Cell and atoms, written as POSCAR:
```
TlRhAu2
1.0
-0.798 2.143 -1.827
-2.807 0.292 -0.775
-2.678 6.717 6.704
Au Tl Rh
2 1 1
Cartesian
-4.677 6.721 2.893
-1.607 2.431 1.209
0.000 0.000 0.000
-3.142 4.576 2.051
```

As for the energy of formation from the pure elements: 0.312 eV per atom. As for the space group: R-3m. As for the crystal system: trigonal. The value obtained for the density of states at the Fermi level is 4.64 states/eV/f.u. The value obtained for the total magnetic moment is 0.350 μB/cell. The calculated density comes out at 16.15 Mg/m³.

No. 18
Computed, not measured: a relaxed TlRhAu crystal at the PBEsol level of DFT.

Cell and atoms, written as POSCAR:
```
TlRhAu
1.0
-1.120 1.671 -2.345
-3.596 -0.567 1.314
2.673 3.052 2.933
Au Tl Rh
1 1 1
Cartesian
0.003 0.029 0.019
0.207 2.364 1.586
-2.252 1.763 0.297
```

As for the energy of formation from the pure elements: 0.204 eV per atom. As for the space group: Imm2. As for the crystal system: orthorhombic. The value obtained for the density of states at the Fermi level is 1.56 states/eV/f.u. The value obtained for the total magnetic moment is 0.000 μB/cell. The calculated density comes out at 16.09 Mg/m³.

No. 19
Computed, not measured: a relaxed Tl3RhAu crystal at the PBEsol level of DFT.

Cell and atoms, written as POSCAR:
```
Tl3RhAu
1.0
-0.162 -0.579 -5.111
-5.105 -0.610 0.231
-0.632 5.077 -0.555
Tl Au Rh
3 1 1
Cartesian
-0.316 2.539 -0.277
-0.081 -0.289 -2.556
-2.552 -0.305 0.116
-2.950 1.944 -2.717
0.000 0.000 0.000
```

As for the energy of formation from the pure elements: 0.224 eV per atom. As for the space group: Pm-3m. As for the crystal system: cubic. The value obtained for the density of states at the Fermi level is 1.43 states/eV/f.u. The value obtained for the total magnetic moment is 0.000 μB/cell. The calculated density comes out at 11.12 Mg/m³.

No. 20
Computed, not measured: a relaxed TlRhAu2 crystal at the PBEsol level of DFT.

Cell and atoms, written as POSCAR:
```
TlRhAu2
1.0
3.985 0.000 0.000
0.000 3.985 0.000
0.000 0.000 4.313
Tl Au Rh
1 2 1
Cartesian
0.000 0.000 2.157
0.000 1.993 0.000
1.993 0.000 0.000
1.993 1.993 2.157
```

As for the energy of formation from the pure elements: 0.040 eV per atom. As for the space group: P4/mmm. As for the crystal system: tetragonal. The value obtained for the density of states at the Fermi level is 1.00 states/eV/f.u. The value obtained for the total magnetic moment is 0.000 μB/cell. The calculated density comes out at 17.00 Mg/m³.